The following is a DFT calculation (PBE-GGA) of a relaxed Mg2SiCl crystal.

Values from the calculation:
Raw formation energy in eV per atom: -0.0955
Magnetization in μB per formula unit: 0.0

Cell: 3.7840 3.7840 12.4205 Å, 90.00 90.00 90.00°
Closest atoms and distances in Å follow each position.
Space group I-4m2 (No. 119)
Unique sites:
Mg (0.0000, 0.0000, 0.0000) (multiplicity 2)  4 Cl 2.68
Mg (0.0000, 0.5000, 0.2500) (multiplicity 2)  4 Si 2.68
Si (0.0000, 0.5000, 0.7500) (multiplicity 2)  4 Mg 2.68
Cl (0.0000, 0.0000, 0.5000) (multiplicity 2)  4 Mg 2.68